BaCaSiCl2 | GGA-PBE | relaxed

Lattice parameters (Å, degrees): 5.634 5.634 14.097 90.00 90.00 90.00
Sites, in units of the cell vectors:
Ba: 0.000 0.000 0.000
Ca: 0.000 0.000 0.500
Si: 0.500 0.500 0.500
Cl: 0.000 0.500 0.000
Cl: 0.500 0.000 0.000

Results
- Final energy: -15.447 eV per cell
- E_form (uncorrected): -0.48 eV/atom
- Calculated volume: 447 Å³/cell